{
  "formula": "Bi2P2Pt5",
  "functional": "PBE",
  "state": "optimized geometry",
  "space_group": "C2/m, No. 12",
  "dft_energy_ev_per_cell": -51.3,
  "lattice": [[3.997, 0.000, 0.000], [-1.999, 5.691, -1.285], [0.000, -0.067, 8.533]],
  "species": ["Bi", "Bi", "P", "P", "Pt", "Pt", "Pt", "Pt", "Pt"],
  "frac_coords": [[0.367, 0.734, 0.646], [0.633, 0.266, 0.354], [0.141, 0.282, 0.845], [0.859, 0.718, 0.155], [0.000, 0.000, 0.000], [0.663, 0.327, 0.998], [0.337, 0.673, 0.002], [0.118, 0.235, 0.576], [0.882, 0.765, 0.424]]
}

=====

{
  "formula": "PuBi2P2Pt7",
  "functional": "PBE",
  "state": "optimized geometry",
  "space_group": "I4/mmm, No. 139",
  "dft_energy_ev_per_cell": -81.5,
  "lattice": [[-1.679, -1.979, 3.085], [3.659, -1.106, 1.280], [1.800, 10.809, 10.552]],
  "species": ["P", "P", "Pt", "Pt", "Pt", "Pt", "Pt", "Pt", "Pt", "Bi", "Bi", "Pu"],
  "frac_coords": [[0.618, 0.618, 0.764], [0.382, 0.382, 0.236], [0.424, 0.924, 0.151], [0.576, 0.076, 0.849], [0.076, 0.576, 0.849], [0.924, 0.424, 0.151], [0.694, 0.694, 0.611], [0.306, 0.306, 0.389], [0.500, 0.500, 0.000], [0.211, 0.211, 0.579], [0.789, 0.789, 0.421], [0.000, 0.000, 0.000]]
}

=====

{
  "formula": "BiP2PtS",
  "functional": "PBE",
  "state": "optimized geometry",
  "space_group": "P4/mmm, No. 123",
  "dft_energy_ev_per_cell": -16.5,
  "formation_energy_uncorrected_ev_per_fu": 8.3,
  "lattice": [[5.220, 0.000, 0.000], [0.000, 5.220, 0.000], [0.000, 0.000, 5.005]],
  "species": ["Pt", "P", "P", "S", "Bi"],
  "frac_coords": [[0.500, 0.500, 0.500], [0.500, 0.000, 0.000], [0.000, 0.500, 0.000], [0.000, 0.000, 0.500], [0.000, 0.000, 0.000]]
}

=====

{
  "formula": "BiP2PtS",
  "functional": "PBE",
  "state": "optimized geometry",
  "space_group": "P4/mmm, No. 123",
  "dft_energy_ev_per_cell": -22.5,
  "formation_energy_uncorrected_ev_per_fu": 2.4,
  "lattice": [[4.653, 0.000, 0.000], [0.000, 4.653, 0.000], [0.000, 0.000, 4.996]],
  "species": ["P", "P", "S", "Bi", "Pt"],
  "frac_coords": [[0.000, 0.500, 0.000], [0.500, 0.000, 0.000], [0.000, 0.000, 0.500], [0.500, 0.500, 0.500], [0.000, 0.000, 0.000]]
}

=====

{
  "formula": "BiP2PtSe",
  "functional": "PBE",
  "state": "optimized geometry",
  "space_group": "P4/mmm, No. 123",
  "dft_energy_ev_per_cell": -20.4,
  "formation_energy_uncorrected_ev_per_fu": 3.8,
  "lattice": [[-3.219, 1.443, 3.294], [-1.761, -4.447, 0.228], [3.128, -1.058, 3.520]],
  "species": ["P", "P", "Bi", "Pt", "Se"],
  "frac_coords": [[0.500, 0.000, 0.000], [0.000, 0.000, 0.500], [0.500, 0.500, 0.500], [0.000, 0.500, 0.000], [0.000, 0.000, 0.000]]
}

=====

{
  "formula": "SmBi2P2Pt7",
  "functional": "PBE",
  "state": "optimized geometry",
  "space_group": "I4/mmm, No. 139",
  "dft_energy_ev_per_cell": -73.1,
  "lattice": [[4.041, -0.003, -0.001], [0.002, 4.041, -0.001], [2.030, 2.028, 14.877]],
  "species": ["Pt", "Pt", "Pt", "Pt", "Pt", "Pt", "Pt", "Bi", "Bi", "P", "P", "Sm"],
  "frac_coords": [[0.500, 0.500, 0.000], [0.306, 0.306, 0.388], [0.694, 0.694, 0.612], [0.075, 0.576, 0.850], [0.424, 0.925, 0.150], [0.925, 0.424, 0.150], [0.576, 0.075, 0.850], [0.211, 0.211, 0.579], [0.789, 0.789, 0.421], [0.618, 0.618, 0.765], [0.382, 0.382, 0.235], [0.000, 0.000, 0.000]]
}

=====

{
  "formula": "TcBiP2Pt",
  "functional": "PBE",
  "state": "optimized geometry",
  "space_group": "P4/mmm, No. 123",
  "dft_energy_ev_per_cell": -26.6,
  "lattice": [[4.633, 0.000, 0.000], [0.000, 5.263, 0.000], [0.000, 0.000, 4.633]],
  "species": ["P", "P", "Pt", "Bi", "Tc"],
  "frac_coords": [[0.000, 0.000, 0.500], [0.500, 0.000, 0.000], [0.000, 0.000, 0.000], [0.500, 0.500, 0.500], [0.000, 0.500, 0.000]]
}

=====

{
  "formula": "TlBi2P2Pt7",
  "functional": "PBE",
  "state": "optimized geometry",
  "space_group": "I4/mmm, No. 139",
  "dft_energy_ev_per_cell": -67.4,
  "lattice": [[3.985, -0.003, 0.007], [0.002, 3.985, 0.007], [1.967, 1.964, 15.014]],
  "species": ["Pt", "Pt", "Pt", "Pt", "Pt", "Pt", "Pt", "P", "P", "Tl", "Bi", "Bi"],
  "frac_coords": [[0.425, 0.925, 0.150], [0.306, 0.306, 0.388], [0.500, 0.500, 0.000], [0.575, 0.075, 0.850], [0.075, 0.575, 0.850], [0.925, 0.425, 0.150], [0.694, 0.694, 0.612], [0.617, 0.617, 0.766], [0.383, 0.383, 0.234], [0.000, 0.000, 0.000], [0.790, 0.790, 0.421], [0.210, 0.210, 0.579]]
}